# 1
VASP calculation (PBE) on crystalline Cr2HgIr at its relaxed geometry.

Computed properties:
Energy of formation from the pure elements (eV/atom): 0.353

```
data_Cr2HgIr
_chemical_formula_sum 'Cr6 Hg3 Ir3'
_space_group_name_H-M_alt 'R 3 m'
_space_group_IT_number 160
_space_group_name_Hall 'R 3 -2"'
_cell_length_a 2.8497
_cell_length_b 2.8497
_cell_length_c 25.7689
_cell_angle_alpha 90.00
_cell_angle_beta 90.00
_cell_angle_gamma 120.00
loop_
_atom_site_label
_atom_site_type_symbol
_atom_site_fract_x
_atom_site_fract_y
_atom_site_fract_z
Cr1 Cr 0.0000 0.0000 0.0000
Cr2 Cr 0.0000 0.0000 0.2724
Hg1 Hg 0.0000 0.0000 0.5100
Ir1 Ir 0.0000 0.0000 0.7447
```


# 2
VASP calculation (PBE) on crystalline CaZnW2 at its relaxed geometry.

Computed properties:
Energy of formation from the pure elements (eV/atom): 0.683

```
data_CaZnW2
_chemical_formula_sum 'Ca1 Zn1 W2'
_space_group_name_H-M_alt 'P -1'
_space_group_IT_number 2
_cell_length_a 2.7720
_cell_length_b 5.1435
_cell_length_c 5.3726
_cell_angle_alpha 109.44
_cell_angle_beta 91.66
_cell_angle_gamma 94.92
loop_
_space_group_symop_operation_xyz
'x,y,z'
'-x,-y,-z'
loop_
_atom_site_label
_atom_site_type_symbol
_atom_site_fract_x
_atom_site_fract_y
_atom_site_fract_z
Ca1 Ca 0.0000 0.0000 0.0000
Zn1 Zn 0.5000 0.5000 0.0000
W1 W 0.0000 0.5000 0.5000
W2 W 0.5000 0.0000 0.5000
```


# 3
VASP calculation (PBE) on crystalline MnHg2Cl at its relaxed geometry.

Computed properties:
Uncorrected formation energy (meV/atom): -51

```
data_MnHg2Cl
_chemical_formula_sum 'Mn4 Hg8 Cl4'
_space_group_name_H-M_alt 'I -4 2 d'
_space_group_IT_number 122
_space_group_name_Hall 'I -4 2bw'
_cell_length_a 9.7138
_cell_length_b 9.7138
_cell_length_c 4.7703
_cell_angle_alpha 90.00
_cell_angle_beta 90.00
_cell_angle_gamma 90.00
loop_
_atom_site_label
_atom_site_type_symbol
_atom_site_fract_x
_atom_site_fract_y
_atom_site_fract_z
Mn1 Mn 0.0000 0.0000 0.0000
Hg1 Hg 0.1446 0.2500 0.1250
Cl1 Cl 0.0000 0.0000 0.5000
```


Final energy in eV for the cell shown, matching the order above: -80.99 -26.45 -47.30
V in A^3/atom, matching the order above: 15.10 17.96 28.13